i) CaPm2Pr: relaxed, PBE.

Cell lengths 3.629, 3.629, 13.116 Å; angles 82.05, 82.05, 60.00 degrees
Element x y z (fractional)
Pm 0.090 0.090 0.729
Pm 0.910 0.910 0.271
Ca 0.000 0.000 0.000
Pr 0.500 0.500 0.500

Summary:
The theoretical density comes out at 5.3 g/cm³. The density of states at the Fermi level is 5.57 states/eV/cell. The calculation puts the size of the total moment at 0.00 Bohr magnetons per cell.


ii) CaPm2Pr: relaxed, PBE.

Cell lengths 3.709, 3.709, 10.596 Å; angles 90.00, 90.00, 90.00 degrees
Element x y z (fractional)
Pm 0.000 0.000 0.764
Pm 0.000 0.000 0.236
Pr 0.500 0.500 0.000
Ca 0.500 0.500 0.500

Summary:
The theoretical density comes out at 5.4 g/cm³. The density of states at the Fermi level is 5.92 states/eV/cell. The calculation puts the size of the total moment at 0.00 Bohr magnetons per cell.


Result of the stability comparison: i) is the least stable of them.


i) CaPmPr4: relaxed, PBE.

Cell lengths 3.684, 5.312, 11.202 Å; angles 90.00, 89.94, 89.97 degrees
Element x y z (fractional)
Pm 0.500 0.000 0.500
Pr 0.002 0.500 0.338
Pr 0.502 0.999 0.178
Pr 0.498 0.001 0.822
Pr 0.998 0.500 0.662
Ca 0.000 0.500 0.000

Summary:
The theoretical density comes out at 5.7 g/cm³. The density of states at the Fermi level is 9.25 states/eV/cell. The calculation puts the size of the total moment at 0.00 Bohr magnetons per cell.


ii) CaPmPr4: relaxed, PBE.

Cell lengths 6.876, 6.876, 6.876 Å; angles 60.00, 60.00, 60.00 degrees
Element x y z (fractional)
Pm 0.000 0.000 0.000
Pr 0.626 0.626 0.121
Pr 0.626 0.121 0.626
Pr 0.626 0.626 0.626
Pr 0.121 0.626 0.626
Ca 0.250 0.250 0.250

Summary:
The theoretical density comes out at 5.4 g/cm³. The density of states at the Fermi level is 9.75 states/eV/cell. The calculation puts the size of the total moment at 0.00 Bohr magnetons per cell.


Result of the stability comparison: ii) is the least stable of them.


i) CaPmPr3: relaxed, PBE.

Cell lengths 5.727, 7.347, 14.306 Å; angles 140.40, 101.55, 90.00 degrees
Element x y z (fractional)
Pr 0.000 0.242 0.001
Pr 0.799 0.146 0.598
Pr 0.201 0.854 0.402
Pr 0.000 0.758 0.999
Pr 0.394 0.684 0.788
Pr 0.606 0.316 0.212
Pm 0.201 0.352 0.401
Pm 0.799 0.648 0.599
Ca 0.608 0.824 0.215
Ca 0.392 0.176 0.785

Summary:
The theoretical density comes out at 5.5 g/cm³. The density of states at the Fermi level is 16.72 states/eV/cell. The calculation puts the size of the total moment at 0.00 Bohr magnetons per cell.


ii) CaPmPr3: relaxed, PBE.

Cell lengths 6.262, 6.262, 12.529 Å; angles 75.53, 75.53, 60.00 degrees
Element x y z (fractional)
Pr 0.091 0.417 0.740
Pr 0.752 0.091 0.740
Pr 0.909 0.583 0.260
Pr 0.248 0.909 0.260
Pr 0.583 0.248 0.260
Pr 0.417 0.752 0.740
Ca 0.334 0.334 0.999
Ca 0.666 0.666 0.001
Pm 0.166 0.166 0.501
Pm 0.834 0.834 0.499

Summary:
The theoretical density comes out at 5.0 g/cm³. The density of states at the Fermi level is 16.90 states/eV/cell. The calculation puts the size of the total moment at 0.00 Bohr magnetons per cell.


Result of the stability comparison: ii) is the least stable of them.


i) CaPm2Pr3: relaxed, PBE.

Cell lengths 3.492, 6.302, 10.583 Å; angles 107.32, 99.50, 90.00 degrees
Element x y z (fractional)
Pr 0.814 0.814 0.628
Pr 0.186 0.186 0.372
Pr 0.000 0.500 0.000
Ca 0.000 0.000 0.000
Pm 0.361 0.361 0.721
Pm 0.639 0.639 0.279

Summary:
The theoretical density comes out at 5.7 g/cm³. The density of states at the Fermi level is 9.51 states/eV/cell. The calculation puts the size of the total moment at 0.00 Bohr magnetons per cell.


ii) CaPm2Pr3: relaxed, PBE.

Cell lengths 7.396, 6.426, 12.294 Å; angles 110.46, 89.99, 125.13 degrees
Element x y z (fractional)
Pm 0.461 0.673 0.924
Pm 0.212 0.673 0.424
Pm 0.539 0.327 0.076
Pm 0.788 0.327 0.576
Ca 0.875 0.000 0.750
Ca 0.125 0.000 0.250
Pr 0.293 0.336 0.586
Pr 0.043 0.336 0.086
Pr 0.957 0.664 0.914
Pr 0.707 0.664 0.414
Pr 0.375 0.000 0.750
Pr 0.625 0.000 0.250

Summary:
The theoretical density comes out at 5.8 g/cm³. The density of states at the Fermi level is 17.22 states/eV/cell. The calculation puts the size of the total moment at 0.00 Bohr magnetons per cell.


Result of the stability comparison: i) is the least stable of them.


i) CaPmPrSm: relaxed, PBE.

Cell lengths 3.700, 3.700, 12.209 Å; angles 90.00, 90.00, 120.00 degrees
Element x y z (fractional)
Sm 0.000 0.000 0.414
Pr 0.333 0.667 0.936
Ca 0.667 0.333 0.672
Pm 0.667 0.333 0.178

Summary:
The theoretical density comes out at 5.5 g/cm³. The density of states at the Fermi level is 6.29 states/eV/cell. The calculation puts the size of the total moment at 0.00 Bohr magnetons per cell.


ii) CaPmPrSm: relaxed, PBE.

Cell lengths 5.887, 5.887, 5.887 Å; angles 60.00, 60.00, 60.00 degrees
Element x y z (fractional)
Ca 0.250 0.250 0.250
Pr 0.000 0.000 0.000
Sm 0.750 0.750 0.750
Pm 0.500 0.500 0.500

Summary:
The theoretical density comes out at 5.5 g/cm³. The density of states at the Fermi level is 7.40 states/eV/cell. The calculation puts the size of the total moment at 0.00 Bohr magnetons per cell.


Result of the stability comparison: ii) is the least stable of them.


i) CaTbPmPr: relaxed, PBE.

Cell lengths 5.861, 5.861, 5.861 Å; angles 60.00, 60.00, 60.00 degrees
Element x y z (fractional)
Ca 0.250 0.250 0.250
Pr 0.000 0.000 0.000
Tb 0.750 0.750 0.750
Pm 0.500 0.500 0.500

Summary:
The theoretical density comes out at 5.7 g/cm³. The density of states at the Fermi level is 6.96 states/eV/cell. The calculation puts the size of the total moment at 0.00 Bohr magnetons per cell.


ii) CaTbPmPr: relaxed, PBE.

Cell lengths 3.674, 3.674, 10.571 Å; angles 90.00, 90.00, 90.00 degrees
Element x y z (fractional)
Tb 0.000 0.000 0.574
Pr 0.500 0.500 0.337
Ca 0.000 0.000 0.069
Pm 0.500 0.500 0.805

Summary:
The theoretical density comes out at 5.6 g/cm³. The density of states at the Fermi level is 5.75 states/eV/cell. The calculation puts the size of the total moment at 0.00 Bohr magnetons per cell.


Result of the stability comparison: i) is the least stable of them.